(1)
KAgSN2: relaxed, GGA-PBE.

* ΔE to the lowest computed polymorph: 856.3 meV per atom
* electronic total energy: -2.74 eV per atom
* space group: P4/mmm, No. 123
* formation energy (no corrections): 2.2072 eV/atom
* crystal system: tetragonal

```
data_KAgSN2
_symmetry_space_group_name_H-M 'P 1'
_symmetry_Int_Tables_number 1
_cell_length_a 4.9368
_cell_length_b 4.9368
_cell_length_c 6.0222
_cell_angle_alpha 90.00
_cell_angle_beta 90.00
_cell_angle_gamma 90.00
loop_
_symmetry_equiv_pos_as_xyz
'x,y,z'
loop_
_atom_site_label
_atom_site_fract_x
_atom_site_fract_y
_atom_site_fract_z
_atom_site_occupancy
K1 0.0000 0.0000 0.0000 1
S1 0.0000 0.0000 0.5000 1
Ag1 0.5000 0.5000 0.5000 1
N1 0.0000 0.5000 0.0000 1
N2 0.5000 0.0000 0.0000 1
```


(2)
KAgSN2: relaxed, GGA-PBE.

* ΔE to the lowest computed polymorph: 0.0 meV per atom
* electronic total energy: -3.59 eV per atom
* space group: P4/mmm, No. 123
* formation energy (no corrections): 1.3509 eV/atom
* crystal system: tetragonal

```
data_KAgSN2
_symmetry_space_group_name_H-M 'P 1'
_symmetry_Int_Tables_number 1
_cell_length_a 4.3902
_cell_length_b 4.3902
_cell_length_c 5.1878
_cell_angle_alpha 90.00
_cell_angle_beta 90.00
_cell_angle_gamma 90.00
loop_
_symmetry_equiv_pos_as_xyz
'x,y,z'
loop_
_atom_site_label
_atom_site_fract_x
_atom_site_fract_y
_atom_site_fract_z
_atom_site_occupancy
K1 0.5000 0.5000 0.5000 1
S1 0.0000 0.0000 0.5000 1
Ag1 0.0000 0.0000 0.0000 1
N1 0.0000 0.5000 0.0000 1
N2 0.5000 0.0000 0.0000 1
```


(3)
KAgSeN2: relaxed, GGA-PBE.

* ΔE to the lowest computed polymorph: 0.0 meV per atom
* electronic total energy: -3.48 eV per atom
* space group: P4/mmm, No. 123
* formation energy (no corrections): 1.3409 eV/atom
* crystal system: tetragonal

```
data_KAgSeN2
_symmetry_space_group_name_H-M 'P 1'
_symmetry_Int_Tables_number 1
_cell_length_a 4.4504
_cell_length_b 4.4504
_cell_length_c 5.4136
_cell_angle_alpha 90.00
_cell_angle_beta 90.00
_cell_angle_gamma 90.00
loop_
_symmetry_equiv_pos_as_xyz
'x,y,z'
loop_
_atom_site_label
_atom_site_fract_x
_atom_site_fract_y
_atom_site_fract_z
_atom_site_occupancy
K1 0.5000 0.5000 0.5000 1
Se1 0.0000 0.0000 0.5000 1
Ag1 0.0000 0.0000 0.0000 1
N1 0.0000 0.5000 0.0000 1
N2 0.5000 0.0000 0.0000 1
```


(4)
KAgSeN2: relaxed, GGA-PBE.

* ΔE to the lowest computed polymorph: 767.6 meV per atom
* electronic total energy: -2.71 eV per atom
* space group: P4/mmm, No. 123
* formation energy (no corrections): 2.1085 eV/atom
* crystal system: tetragonal

```
data_KAgSeN2
_symmetry_space_group_name_H-M 'P 1'
_symmetry_Int_Tables_number 1
_cell_length_a 4.9081
_cell_length_b 4.9081
_cell_length_c 6.3265
_cell_angle_alpha 90.00
_cell_angle_beta 90.00
_cell_angle_gamma 90.00
loop_
_symmetry_equiv_pos_as_xyz
'x,y,z'
loop_
_atom_site_label
_atom_site_fract_x
_atom_site_fract_y
_atom_site_fract_z
_atom_site_occupancy
K1 0.0000 0.0000 0.0000 1
Se1 0.0000 0.0000 0.5000 1
Ag1 0.5000 0.5000 0.5000 1
N1 0.0000 0.5000 0.0000 1
N2 0.5000 0.0000 0.0000 1
```


(5)
KTcAgN2: relaxed, GGA-PBE.

* electronic total energy: -2.71 eV per atom
* space group: P4/mmm, No. 123
* formation energy (no corrections): 3.4858 eV/atom
* crystal system: tetragonal

```
data_KTcAgN2
_symmetry_space_group_name_H-M 'P 1'
_symmetry_Int_Tables_number 1
_cell_length_a 4.4564
_cell_length_b 4.7508
_cell_length_c 4.4564
_cell_angle_alpha 90.00
_cell_angle_beta 90.00
_cell_angle_gamma 90.00
loop_
_symmetry_equiv_pos_as_xyz
'x,y,z'
loop_
_atom_site_label
_atom_site_fract_x
_atom_site_fract_y
_atom_site_fract_z
_atom_site_occupancy
K1 0.0000 0.0000 0.0000 1
Tc1 0.0000 0.5000 0.0000 1
Ag1 0.5000 0.5000 0.5000 1
N1 0.0000 0.0000 0.5000 1
N2 0.5000 0.0000 0.0000 1
```


(6)
KAgTe2N: relaxed, GGA-PBE.

* ΔE to the lowest computed polymorph: 1113.3 meV per atom
* electronic total energy: -1.99 eV per atom
* space group: P4/mmm, No. 123
* formation energy (no corrections): 1.7197 eV/atom
* crystal system: tetragonal

```
data_KAgTe2N
_symmetry_space_group_name_H-M 'P 1'
_symmetry_Int_Tables_number 1
_cell_length_a 6.1362
_cell_length_b 6.1362
_cell_length_c 4.2522
_cell_angle_alpha 90.00
_cell_angle_beta 90.00
_cell_angle_gamma 90.00
loop_
_symmetry_equiv_pos_as_xyz
'x,y,z'
loop_
_atom_site_label
_atom_site_fract_x
_atom_site_fract_y
_atom_site_fract_z
_atom_site_occupancy
K1 0.0000 0.0000 0.0000 1
Te1 0.0000 0.5000 0.0000 1
Te2 0.5000 0.0000 0.0000 1
Ag1 0.5000 0.5000 0.5000 1
N1 0.0000 0.0000 0.5000 1
```


(7)
KAgTe2N: relaxed, GGA-PBE.

* ΔE to the lowest computed polymorph: 0.0 meV per atom
* electronic total energy: -3.11 eV per atom
* space group: P4/mmm, No. 123
* formation energy (no corrections): 0.6065 eV/atom
* crystal system: tetragonal

```
data_KAgTe2N
_symmetry_space_group_name_H-M 'P 1'
_symmetry_Int_Tables_number 1
_cell_length_a 5.9508
_cell_length_b 5.9508
_cell_length_c 3.9944
_cell_angle_alpha 90.00
_cell_angle_beta 90.00
_cell_angle_gamma 90.00
loop_
_symmetry_equiv_pos_as_xyz
'x,y,z'
loop_
_atom_site_label
_atom_site_fract_x
_atom_site_fract_y
_atom_site_fract_z
_atom_site_occupancy
K1 0.5000 0.5000 0.5000 1
Te1 0.0000 0.5000 0.0000 1
Te2 0.5000 0.0000 0.0000 1
Ag1 0.0000 0.0000 0.0000 1
N1 0.0000 0.0000 0.5000 1
```


(8)
KTi2AgN: relaxed, GGA-PBE.

* electronic total energy: -3.58 eV per atom
* space group: P4/mmm, No. 123
* formation energy (no corrections): 2.0305 eV/atom
* crystal system: tetragonal

```
data_KTi2AgN
_symmetry_space_group_name_H-M 'P 1'
_symmetry_Int_Tables_number 1
_cell_length_a 4.8981
_cell_length_b 5.7594
_cell_length_c 4.8981
_cell_angle_alpha 90.00
_cell_angle_beta 90.00
_cell_angle_gamma 90.00
loop_
_symmetry_equiv_pos_as_xyz
'x,y,z'
loop_
_atom_site_label
_atom_site_fract_x
_atom_site_fract_y
_atom_site_fract_z
_atom_site_occupancy
K1 0.0000 0.5000 0.0000 1
N1 0.5000 0.5000 0.5000 1
Ag1 0.0000 0.0000 0.0000 1
Ti1 0.0000 0.0000 0.5000 1
Ti2 0.5000 0.0000 0.0000 1
```